[1]
Below is an optimized crystal structure of InAg2Br, with properties calculated at the PBE level. Values from VASP.

Geometry as Quantum ESPRESSO input:
```
&SYSTEM
  ibrav = 0, nat = 4, ntyp = 3
/
ATOMIC_SPECIES
In 114.82 In.upf
Ag 107.87 Ag.upf
Br 79.90 Br.upf
ATOMIC_POSITIONS crystal
In 0.000 0.000 0.000
Ag 0.000 0.500 0.500
Ag 0.500 0.000 0.500
Br 0.500 0.500 0.000
CELL_PARAMETERS angstrom
4.627 0.000 0.000
0.000 4.627 0.000
0.000 0.000 4.358
```

## Properties
As for the formation energy without anion corrections: 0.1165 eV per atom. The distance to the lowest polymorph of the same formula is 185 meV/atom. The space-group type is P4/mmm, No. 123. The value obtained for the density of states at the Fermi level is 0.28 states/eV per atom.



[2]
Below is an optimized crystal structure of In3AgBr, with properties calculated at the PBE level. Values from VASP.

Geometry as Quantum ESPRESSO input:
```
&SYSTEM
  ibrav = 0, nat = 5, ntyp = 3
/
ATOMIC_SPECIES
In 114.82 In.upf
Ag 107.87 Ag.upf
Br 79.90 Br.upf
ATOMIC_POSITIONS crystal
In 0.000 0.000 0.500
In 0.000 0.500 0.000
In 0.500 0.000 0.000
Ag 0.000 0.000 0.000
Br 0.500 0.500 0.500
CELL_PARAMETERS angstrom
5.433 0.000 0.000
0.000 5.433 0.000
0.000 0.000 5.433
```

## Properties
As for the formation energy without anion corrections: -0.0779 eV per atom. The distance to the lowest polymorph of the same formula is 0 meV/atom. The space-group type is Pm-3m, No. 221. The value obtained for the density of states at the Fermi level is 0.33 states/eV per atom.